No. 1
Compound: Li5AgTe3
Source: Alexandria via LeMat-Bulk
Functional: PBE
Structure: optimized geometry

The structure in CIF format:
```
data_Li5AgTe3
_cell_length_a 14.6704
_cell_length_b 6.5618
_cell_length_c 9.2447
_cell_angle_alpha 90.00
_cell_angle_beta 108.42
_cell_angle_gamma 90.00
_symmetry_space_group_name_H-M 'C 1 2/c 1'
_symmetry_Int_Tables_number 15
loop_
_symmetry_equiv_pos_as_xyz
'x,y,z'
'-x,-y,-z'
'-x,y,-z+1/2'
'x,-y,z+1/2'
'x+1/2,y+1/2,z'
'-x+1/2,-y+1/2,-z'
'-x+1/2,y+1/2,-z+1/2'
'x+1/2,-y+1/2,z+1/2'
loop_
_atom_site_label
_atom_site_type_symbol
_atom_site_fract_x
_atom_site_fract_y
_atom_site_fract_z
Li1 Li 0.0000 0.2472 0.2500
Li2 Li 0.1615 0.2562 0.5872
Li3 Li 0.1650 0.2478 0.0769
Ag1 Ag 0.0000 0.2690 0.7500
Te1 Te 0.0000 0.0000 0.0000
Te2 Te 0.1711 0.4890 0.3361
```

## Properties
- calculated density (Mg/m³) = 4.1
- raw formation energy (eV/atom) = -0.875

---

No. 2
Compound: Ac2ZrHg
Source: Alexandria via LeMat-Bulk
Functional: PBE
Structure: optimized geometry

The structure in CIF format:
```
data_Ac2ZrHg
_cell_length_a 3.6050
_cell_length_b 3.6050
_cell_length_c 36.1375
_cell_angle_alpha 90.00
_cell_angle_beta 90.00
_cell_angle_gamma 120.00
_symmetry_space_group_name_H-M 'R -3 m'
_symmetry_Int_Tables_number 166
_symmetry_space_group_name_Hall '-R 3 2"'
loop_
_atom_site_label
_atom_site_type_symbol
_atom_site_fract_x
_atom_site_fract_y
_atom_site_fract_z
Ac1 Ac 0.0000 0.0000 0.0898
Zr1 Zr 0.0000 0.0000 0.0000
Hg1 Hg 0.0000 0.0000 0.5000
```

## Properties
- ΔE to the lowest computed polymorph (meV per atom) = 389.7
- calculated formation energy (eV per atom) = 0.36
- calculated density (Mg/m³) = 9.1

---

No. 3
Compound: SmHoTlIr
Source: Alexandria via LeMat-Bulk
Functional: PBE
Structure: optimized geometry

The structure in CIF format:
```
data_SmHoTlIr
_cell_length_a 7.2703
_cell_length_b 7.2703
_cell_length_c 7.2703
_cell_angle_alpha 90.00
_cell_angle_beta 90.00
_cell_angle_gamma 90.00
_symmetry_space_group_name_H-M 'F -4 3 m'
_symmetry_Int_Tables_number 216
_symmetry_space_group_name_Hall 'F -4 2 3'
loop_
_atom_site_label
_atom_site_type_symbol
_atom_site_fract_x
_atom_site_fract_y
_atom_site_fract_z
Sm1 Sm 0.0000 0.0000 0.0000
Ho1 Ho 0.0000 0.0000 0.5000
Tl1 Tl 0.2500 0.2500 0.7500
Ir1 Ir 0.2500 0.2500 0.2500
```

## Properties
- ΔE to the lowest computed polymorph (meV per atom) = 134.5
- calculated formation energy (eV per atom) = -0.44
- calculated density (Mg/m³) = 12.3

---

No. 4
Compound: ScIr2Br
Source: Alexandria via LeMat-Bulk
Functional: PBE
Structure: optimized geometry

The structure in CIF format:
```
data_ScIr2Br
_cell_length_a 3.4488
_cell_length_b 3.4488
_cell_length_c 7.5946
_cell_angle_alpha 90.00
_cell_angle_beta 90.00
_cell_angle_gamma 90.00
_symmetry_space_group_name_H-M 'P 4 m m'
_symmetry_Int_Tables_number 99
loop_
_symmetry_equiv_pos_as_xyz
'x,y,z'
'-y,x,z'
'-x,-y,z'
'y,-x,z'
'-x,y,z'
'y,x,z'
'x,-y,z'
'-y,-x,z'
loop_
_atom_site_label
_atom_site_type_symbol
_atom_site_fract_x
_atom_site_fract_y
_atom_site_fract_z
Sc1 Sc 0.0000 0.0000 0.0000
Ir1 Ir 0.0000 0.0000 0.6731
Ir2 Ir 0.5000 0.5000 0.7676
Br1 Br 0.5000 0.5000 0.2176
```

## Properties
- ΔE to the lowest computed polymorph (meV per atom) = 40.2
- calculated density (Mg/m³) = 9.4
- raw formation energy (eV/atom) = -0.261

---

No. 5
Compound: Pm2HoCdN
Source: Alexandria via LeMat-Bulk
Functional: PBE
Structure: optimized geometry

The structure in CIF format:
```
data_Pm2HoCdN
_cell_length_a 5.0276
_cell_length_b 5.0276
_cell_length_c 4.7550
_cell_angle_alpha 90.00
_cell_angle_beta 90.00
_cell_angle_gamma 90.00
_symmetry_space_group_name_H-M 'P 4/m m m'
_symmetry_Int_Tables_number 123
_symmetry_space_group_name_Hall '-P 4 2'
loop_
_atom_site_label
_atom_site_type_symbol
_atom_site_fract_x
_atom_site_fract_y
_atom_site_fract_z
Pm1 Pm 0.0000 0.5000 0.0000
Ho1 Ho 0.0000 0.0000 0.5000
Cd1 Cd 0.5000 0.5000 0.5000
N1 N 0.0000 0.0000 0.0000
```

## Properties
- calculated density (Mg/m³) = 8.0
- raw formation energy (eV/atom) = -0.776

---

No. 6
Compound: Pa2Pb2Se7
Source: Alexandria via LeMat-Bulk
Functional: PBE
Structure: optimized geometry

The structure in CIF format:
```
data_Pa2Pb2Se7
_cell_length_a 4.0437
_cell_length_b 15.6279
_cell_length_c 9.2174
_cell_angle_alpha 90.00
_cell_angle_beta 90.00
_cell_angle_gamma 90.00
_symmetry_space_group_name_H-M 'I m m 2'
_symmetry_Int_Tables_number 44
loop_
_symmetry_equiv_pos_as_xyz
'x,y,z'
'-x,-y,z'
'-x,y,z'
'x,-y,z'
'x+1/2,y+1/2,z+1/2'
'-x+1/2,-y+1/2,z+1/2'
'-x+1/2,y+1/2,z+1/2'
'x+1/2,-y+1/2,z+1/2'
loop_
_atom_site_label
_atom_site_type_symbol
_atom_site_fract_x
_atom_site_fract_y
_atom_site_fract_z
Pa1 Pa 0.0000 0.2414 0.0000
Pb1 Pb 0.0000 0.0000 0.7620
Pb2 Pb 0.0000 0.5000 0.7809
Se1 Se 0.0000 0.0000 0.0654
Se2 Se 0.0000 0.1313 0.4898
Se3 Se 0.0000 0.3167 0.6962
Se4 Se 0.0000 0.3444 0.3130
```

## Properties
- ΔE to the lowest computed polymorph (meV per atom) = 0.0
- calculated density (Mg/m³) = 8.1
- raw formation energy (eV/atom) = -0.985

---

No. 7
Compound: ScAl2F
Source: Alexandria via LeMat-Bulk
Functional: PBE
Structure: optimized geometry

The structure in CIF format:
```
data_ScAl2F
_cell_length_a 6.6544
_cell_length_b 6.6544
_cell_length_c 6.6544
_cell_angle_alpha 90.00
_cell_angle_beta 90.00
_cell_angle_gamma 90.00
_symmetry_space_group_name_H-M 'F m -3 m'
_symmetry_Int_Tables_number 225
_symmetry_space_group_name_Hall '-F 4 2 3'
loop_
_atom_site_label
_atom_site_type_symbol
_atom_site_fract_x
_atom_site_fract_y
_atom_site_fract_z
Sc1 Sc 0.0000 0.0000 0.0000
Al1 Al 0.2500 0.2500 0.2500
F1 F 0.0000 0.0000 0.5000
```

## Properties
- calculated density (Mg/m³) = 2.7
- raw formation energy (eV/atom) = -0.269

---

No. 8
Compound: PrPa2RuN4
Source: Alexandria via LeMat-Bulk
Functional: PBE
Structure: optimized geometry

The structure in CIF format:
```
data_PrPa2RuN4
_cell_length_a 3.4397
_cell_length_b 11.8856
_cell_length_c 11.7518
_cell_angle_alpha 90.00
_cell_angle_beta 90.00
_cell_angle_gamma 90.00
_symmetry_space_group_name_H-M 'C m c m'
_symmetry_Int_Tables_number 63
_symmetry_space_group_name_Hall '-C 2c 2'
loop_
_atom_site_label
_atom_site_type_symbol
_atom_site_fract_x
_atom_site_fract_y
_atom_site_fract_z
Pr1 Pr 0.0000 0.1057 0.2500
Pa1 Pa 0.0000 0.3691 0.0585
Ru1 Ru 0.0000 0.1554 0.7500
N1 N 0.0000 0.0000 0.0000
N2 N 0.0000 0.2726 0.6082
N3 N 0.0000 0.4521 0.2500
```

## Properties
- calculated density (Mg/m³) = 10.5
- raw formation energy (eV/atom) = -1.239

---

No. 9
Compound: Tm3Se2O
Source: Alexandria via LeMat-Bulk
Functional: PBE
Structure: optimized geometry

The structure in CIF format:
```
data_Tm3Se2O
_cell_length_a 13.6401
_cell_length_b 7.5823
_cell_length_c 5.6157
_cell_angle_alpha 90.00
_cell_angle_beta 90.00
_cell_angle_gamma 90.00
_symmetry_space_group_name_H-M 'C m c 21'
_symmetry_Int_Tables_number 36
loop_
_symmetry_equiv_pos_as_xyz
'x,y,z'
'-x,-y,z+1/2'
'-x,y,z'
'x,-y,z+1/2'
'x+1/2,y+1/2,z'
'-x+1/2,-y+1/2,z+1/2'
'-x+1/2,y+1/2,z'
'x+1/2,-y+1/2,z+1/2'
loop_
_atom_site_label
_atom_site_type_symbol
_atom_site_fract_x
_atom_site_fract_y
_atom_site_fract_z
Tm1 Tm 0.0000 0.1067 0.0000
Tm2 Tm 0.1499 0.2629 0.5198
Se1 Se 0.1535 0.3587 0.0181
O1 O 0.0000 0.1782 0.5565
```

## Properties
- calculated density (Mg/m³) = 7.8
- raw formation energy (eV/atom) = -1.872

---

No. 10
Compound: SrGa2NiPb
Source: Alexandria via LeMat-Bulk
Functional: PBE
Structure: optimized geometry

The structure in CIF format:
```
data_SrGa2NiPb
_cell_length_a 4.7565
_cell_length_b 4.7565
_cell_length_c 5.2986
_cell_angle_alpha 90.00
_cell_angle_beta 90.00
_cell_angle_gamma 90.00
_symmetry_space_group_name_H-M 'P 4/m m m'
_symmetry_Int_Tables_number 123
_symmetry_space_group_name_Hall '-P 4 2'
loop_
_atom_site_label
_atom_site_type_symbol
_atom_site_fract_x
_atom_site_fract_y
_atom_site_fract_z
Sr1 Sr 0.0000 0.0000 0.0000
Ga1 Ga 0.0000 0.5000 0.5000
Ni1 Ni 0.5000 0.5000 0.5000
Pb1 Pb 0.5000 0.5000 0.0000
```

## Properties
- calculated formation energy (eV per atom) = -0.21
- calculated density (Mg/m³) = 6.8

---

No. 11
Compound: Ca4Cd2Ag3
Source: Alexandria via LeMat-Bulk
Functional: PBE
Structure: optimized geometry

The structure in CIF format:
```
data_Ca4Cd2Ag3
_cell_length_a 10.5463
_cell_length_b 4.9832
_cell_length_c 9.2401
_cell_angle_alpha 90.00
_cell_angle_beta 101.83
_cell_angle_gamma 90.00
_symmetry_space_group_name_H-M 'C 1 2/m 1'
_symmetry_Int_Tables_number 12
loop_
_symmetry_equiv_pos_as_xyz
'x,y,z'
'-x,-y,-z'
'-x,y,-z'
'x,-y,z'
'x+1/2,y+1/2,z'
'-x+1/2,-y+1/2,-z'
'-x+1/2,y+1/2,-z'
'x+1/2,-y+1/2,z'
loop_
_atom_site_label
_atom_site_type_symbol
_atom_site_fract_x
_atom_site_fract_y
_atom_site_fract_z
Ca1 Ca 0.0688 0.0000 0.3406
Ca2 Ca 0.1445 0.5000 0.9025
Cd1 Cd 0.2489 0.5000 0.2825
Ag1 Ag 0.0000 0.0000 0.0000
Ag2 Ag 0.1324 0.5000 0.5634
```

## Properties
- calculated formation energy (eV per atom) = -0.29
- calculated density (Mg/m³) = 5.0

---

No. 12
Compound: Sc4TcSe
Source: Alexandria via LeMat-Bulk
Functional: PBE
Structure: optimized geometry

The structure in CIF format:
```
data_Sc4TcSe
_cell_length_a 7.9155
_cell_length_b 7.9155
_cell_length_c 7.9155
_cell_angle_alpha 90.00
_cell_angle_beta 90.00
_cell_angle_gamma 90.00
_symmetry_space_group_name_H-M 'F -4 3 m'
_symmetry_Int_Tables_number 216
_symmetry_space_group_name_Hall 'F -4 2 3'
loop_
_atom_site_label
_atom_site_type_symbol
_atom_site_fract_x
_atom_site_fract_y
_atom_site_fract_z
Sc1 Sc 0.1225 0.1225 0.3775
Tc1 Tc 0.2500 0.2500 0.7500
Se1 Se 0.0000 0.0000 0.0000
```

## Properties
- ΔE to the lowest computed polymorph (meV per atom) = 1071.8
- calculated density (Mg/m³) = 4.8
- raw formation energy (eV/atom) = 0.420